VASP calculation (GGA-PBE) on an optimized crystal structure of CdAg2Bi2.

Values from the calculation:
energy above the lowest structure with this stoichiometry = 158 meV/atom
DOS(E_F) = 2.696 states/eV/cell
E_form = 260 meV per atom

Structure (POSCAR):
```
CdAg2Bi2
1.0
-2.289 2.289 6.690
2.289 -2.289 6.690
2.289 2.289 -6.690
Cd Ag Bi
1 2 2
direct
0.000 0.000 0.000
0.400 0.400 0.000
0.600 0.600 0.000
0.250 0.750 0.500
0.750 0.250 0.500
```